Record 1
VASP calculation (SCAN) on ZrScNi2Sn2 at its PBEsol-relaxed geometry.

Computed properties:
Total moment (μB per cell): 0.000
Energy relative to the elements (meV/atom): -766
Total DFT energy (no corrections) (eV/atom): -25.620

a b c (Å): 7.4690 7.4690 7.4690
angles (deg): 33.40 33.40 33.40
Closest atoms and distances in Å follow each position.
Fractional coordinates of all 6 atoms:
Zr (0.0000, 0.0000, 0.0000)  4 Ni 2.61-2.64
Sc (0.5027, 0.5027, 0.5027)  4 Ni 2.64-2.65
Ni (0.1248, 0.1248, 0.1248)  4 Sn 2.62-2.66, 1 Zr 2.64, 3 Sc 2.65
Ni (0.6275, 0.6275, 0.6275)  3 Zr 2.61, 4 Sn 2.62-2.64, 1 Sc 2.64
Sn (0.2506, 0.2506, 0.2506)  4 Ni 2.64-2.66
Sn (0.7516, 0.7516, 0.7516)  4 Ni 2.62



Record 2
VASP calculation (SCAN) on AlMoP4 at its PBEsol-relaxed geometry.

Computed properties:
Total moment (μB per cell): 0.007
Energy relative to the elements (meV/atom): 767
Total DFT energy (no corrections) (eV/atom): -13.271

a b c (Å): 4.9154 4.9154 4.9154
angles (deg): 60.00 60.00 60.00
Closest atoms and distances in Å follow each position.
Fractional coordinates of all 6 atoms:
Al (0.0000, 0.0000, 0.0000)  12 P 2.88, 4 Mo 3.01
Mo (0.2500, 0.2500, 0.2500)  12 P 2.88, 4 Al 3.01
P (0.1271, 0.6243, 0.6243)  6 P 2.44-2.47
P (0.6243, 0.1271, 0.6243)  6 P 2.44-2.47
P (0.6243, 0.6243, 0.1271)  6 P 2.44-2.47
P (0.6243, 0.6243, 0.6243)  6 P 2.44-2.47



Record 3
VASP calculation (SCAN) on K2ReIr at its PBEsol-relaxed geometry.

Computed properties:
Total moment (μB per cell): 0.056
Energy relative to the elements (meV/atom): 643
Total DFT energy (no corrections) (eV/atom): -39.070

a b c (Å): 3.2945 3.2945 10.4382
angles (deg): 90.00 90.00 90.00
Closest atoms and distances in Å follow each position.
Fractional coordinates of all 4 atoms:
K (0.0000, 0.0000, 0.0000)  4 K 3.29, 4 Ir 3.45, 1 Re 3.47
K (0.5000, 0.5000, 0.4161)  4 K 3.29, 4 Re 3.51, 1 Ir 3.56
Re (0.0000, 0.0000, 0.6678)  4 Ir 2.51
Ir (0.5000, 0.5000, 0.7567)  4 Re 2.51



Record 4
VASP calculation (SCAN) on AlSiBr2 at its PBEsol-relaxed geometry.

Computed properties:
Total moment (μB per cell): 0.651
Total DFT energy (no corrections) (eV/atom): -13.773

a b c (Å): 6.5677 6.5677 6.5677
angles (deg): 144.85 144.85 50.56
Closest atoms and distances in Å follow each position.
Fractional coordinates of all 4 atoms:
Al (0.0000, 0.0000, 0.0000)  4 Br 2.80
Si (0.2500, 0.7500, 0.5000)  4 Br 2.80
Br (0.5000, 0.5000, 0.0000)  4 Al 2.80
Br (0.7500, 0.2500, 0.5000)  4 Si 2.80



Record 5
VASP calculation (SCAN) on ErGaAu at its PBEsol-relaxed geometry.

Computed properties:
Total moment (μB per cell): 0.000
Energy relative to the elements (meV/atom): -1010
Total DFT energy (no corrections) (eV/atom): -46.291

a b c (Å): 5.5798 5.5798 6.9305
angles (deg): 127.46 127.46 46.48
Closest atoms and distances in Å follow each position.
Fractional coordinates of all 6 atoms:
Er (0.0384, 0.0384, 0.2985)  6 Au 2.99-3.21, 6 Ga 3.04-3.22
Er (0.9616, 0.9616, 0.7015)  6 Au 2.99-3.21, 6 Ga 3.04-3.22
Ga (0.3421, 0.3421, 0.8960)  1 Ga 2.53, 3 Au 2.55-2.83
Ga (0.6579, 0.6579, 0.1040)  1 Ga 2.53, 3 Au 2.55-2.83
Au (0.3240, 0.3240, 0.2858)  3 Ga 2.55-2.83, 1 Au 2.77
Au (0.6760, 0.6760, 0.7143)  3 Ga 2.55-2.83, 1 Au 2.77



Record 6
VASP calculation (SCAN) on Ti2Mn2Pb at its PBEsol-relaxed geometry.

Computed properties:
Total moment (μB per cell): 1.783
Energy relative to the elements (meV/atom): 224
Total DFT energy (no corrections) (eV/atom): -28.646

a b c (Å): 8.5629 8.5629 8.5629
angles (deg): 158.83 158.83 30.11
Closest atoms and distances in Å follow each position.
Fractional coordinates of all 5 atoms:
Ti (0.1259, 0.1259, 0.0000)  4 Mn 2.59
Ti (0.8741, 0.8741, 0.0000)  4 Mn 2.59
Mn (0.2500, 0.7500, 0.5000)  4 Mn 2.22
Mn (0.7500, 0.2500, 0.5000)  4 Mn 2.22
Pb (0.5000, 0.5000, 0.0000)  8 Ti 3.05, 4 Pb 3.15



Record 7
VASP calculation (SCAN) on CuOsPtO2 at its PBEsol-relaxed geometry.

Computed properties:
Total moment (μB per cell): 0.000
Total DFT energy (no corrections) (eV/atom): -33.834

a b c (Å): 3.6472 3.6472 5.3147
angles (deg): 90.00 90.00 90.00
Closest atoms and distances in Å follow each position.
Fractional coordinates of all 5 atoms:
Cu (0.0000, 0.0000, 0.0000)  4 Pt 2.58, 2 Os 2.66
Os (0.0000, 0.0000, 0.5000)  4 O 1.82
Pt (0.5000, 0.5000, 0.0000)  4 Cu 2.58
O (0.0000, 0.5000, 0.5000)  2 Os 1.82
O (0.5000, 0.0000, 0.5000)  2 Os 1.82



Record 8
VASP calculation (SCAN) on CsKBe2Cd at its PBEsol-relaxed geometry.

Computed properties:
Total moment (μB per cell): 0.003
Energy relative to the elements (meV/atom): 1469
Total DFT energy (no corrections) (eV/atom): -15.583

a b c (Å): 5.7648 5.7648 6.6838
angles (deg): 90.00 90.00 90.00
Closest atoms and distances in Å follow each position.
Fractional coordinates of all 5 atoms:
Cs (0.0000, 0.0000, 0.0000)  2 K 3.34
K (0.0000, 0.0000, 0.5000)  4 Be 2.88
Be (0.0000, 0.5000, 0.5000)  2 K 2.88
Be (0.5000, 0.0000, 0.5000)  2 K 2.88
Cd (0.5000, 0.5000, 0.0000)  4 Cs 4.08, 8 Be 4.41



Look up the total moment of the seventh one.
0.000 μB per cell



Look up the total moment of the second one.
0.007 μB per cell



What did the first record say?
VASP calculation (SCAN) on ZrScNi2Sn2 at its PBEsol-relaxed geometry.

Computed properties:
Total moment (μB per cell): 0.000
Energy relative to the elements (meV/atom): -766
Total DFT energy (no corrections) (eV/atom): -25.620

a b c (Å): 7.4690 7.4690 7.4690
angles (deg): 33.40 33.40 33.40
Closest atoms and distances in Å follow each position.
Fractional coordinates of all 6 atoms:
Zr (0.0000, 0.0000, 0.0000)  4 Ni 2.61-2.64
Sc (0.5027, 0.5027, 0.5027)  4 Ni 2.64-2.65
Ni (0.1248, 0.1248, 0.1248)  4 Sn 2.62-2.66, 1 Zr 2.64, 3 Sc 2.65
Ni (0.6275, 0.6275, 0.6275)  3 Zr 2.61, 4 Sn 2.62-2.64, 1 Sc 2.64
Sn (0.2506, 0.2506, 0.2506)  4 Ni 2.64-2.66
Sn (0.7516, 0.7516, 0.7516)  4 Ni 2.62